(1)
First-principles (GGA-PBE) data for a relaxed TbPu5Te6 crystal, as listed in Alexandria.

Properties
DOS at the Fermi energy = 4.6410 states/eV/atom
magnetization = 2.461 μB per atom
energy relative to the elements, uncorrected = -1.1343 eV per atom
calculated total energy = -9.06 eV/atom

a = 7.671 Å, b = 7.663 Å, c = 7.663 Å
α = 60.00°, β = 80.42°, γ = 70.55°
Each line ends with the local moment (μB).
Positions (direct):
Te1 0.752 0.083 0.332  -0.07
Te2 0.750 0.752 0.000  -0.08
Te3 0.248 0.917 0.668  -0.07
Te4 0.752 0.414 0.668  -0.07
Te5 0.250 0.248 0.000  -0.08
Te6 0.248 0.586 0.332  -0.07
Pu1 0.500 0.500 0.000  5.56
Pu2 0.500 0.167 0.665  5.56
Pu3 0.500 0.833 0.335  5.56
Pu4 0.000 0.334 0.333  5.55
Pu5 0.000 0.666 0.667  5.55
Tb1 0.000 0.000 0.000  0.12

***

(2)
First-principles (GGA-PBE) data for a relaxed Rb2Re2Au crystal, as listed in Alexandria.

Properties
energy relative to the elements = 6.70 eV/f.u.
DOS at the Fermi energy = 0.9410 states/eV/atom
magnetization = 0.000 μB per atom
excess energy over the best structure of this formula in the dataset = 0.00 eV/f.u.
calculated total energy = -4.68 eV/atom

a = 10.566 Å, b = 10.566 Å, c = 2.807 Å
α = 90.00°, β = 90.00°, γ = 90.00°
Positions (direct):
Re1 0.927 0.573 0.000
Re2 0.073 0.427 0.000
Re3 0.427 0.927 0.000
Re4 0.573 0.073 0.000
Rb1 0.210 0.710 0.500
Rb2 0.290 0.210 0.500
Rb3 0.710 0.790 0.500
Rb4 0.790 0.290 0.500
Au1 0.000 0.000 0.000
Au2 0.500 0.500 0.000

***

(3)
First-principles (GGA-PBE) data for a relaxed CrMo5W6 crystal, as listed in Alexandria.

Properties
energy relative to the elements = 0.21 eV/f.u.
DOS at the Fermi energy = 0.6251 states/eV/atom
magnetization = 0.000 μB per atom
calculated total energy = -11.77 eV/atom

a = 5.238 Å, b = 5.472 Å, c = 8.186 Å
α = 56.28°, β = 93.35°, γ = 80.06°
Positions (direct):
Mo1 0.000 0.500 0.000
Mo2 0.669 0.165 0.669
Mo3 0.332 0.336 0.332
Mo4 0.668 0.664 0.668
Mo5 0.331 0.835 0.331
W1 0.166 0.916 0.668
W2 0.502 0.248 0.000
W3 0.834 0.084 0.332
W4 0.165 0.413 0.670
W5 0.498 0.752 0.000
W6 0.835 0.587 0.330
Cr1 0.000 0.000 0.000

***

Among the records above, which one has the lowest calculated total energy?
CrMo5W6

***

Which of these has the highest DOS at the Fermi energy?
TbPu5Te6

***

The highest DOS at the Fermi energy belongs to which entry?
TbPu5Te6

***

Copy entry 2 word for word.
First-principles (GGA-PBE) data for a relaxed Rb2Re2Au crystal, as listed in Alexandria.

Properties
energy relative to the elements = 6.70 eV/f.u.
DOS at the Fermi energy = 0.9410 states/eV/atom
magnetization = 0.000 μB per atom
excess energy over the best structure of this formula in the dataset = 0.00 eV/f.u.
calculated total energy = -4.68 eV/atom

a = 10.566 Å, b = 10.566 Å, c = 2.807 Å
α = 90.00°, β = 90.00°, γ = 90.00°
Positions (direct):
Re1 0.927 0.573 0.000
Re2 0.073 0.427 0.000
Re3 0.427 0.927 0.000
Re4 0.573 0.073 0.000
Rb1 0.210 0.710 0.500
Rb2 0.290 0.210 0.500
Rb3 0.710 0.790 0.500
Rb4 0.790 0.290 0.500
Au1 0.000 0.000 0.000
Au2 0.500 0.500 0.000